Below is crystalline Nd3Co2Ni7 at its relaxed geometry, with properties calculated at the GGA-PBE level.

**DFT total energy**: -0.44043 Ry per atom
**E_form**: -24 kJ per mole of atoms
**Space-group type**: R-3m (166)
**Fermi-level density of states**: 0.987 states/eV/atom

abc: 5.039 5.039 8.789
angles: 73.34 73.34 60.00
Sites, in units of the cell vectors:
Nd  0.000  0.000  0.000
Nd  0.862  0.862  0.415
Nd  0.138  0.138  0.585
Co  0.668  0.668  0.997
Co  0.332  0.332  0.003
Ni  0.500  0.500  0.500
Ni  0.919  0.421  0.240
Ni  0.421  0.919  0.240
Ni  0.421  0.421  0.240
Ni  0.081  0.579  0.760
Ni  0.579  0.579  0.760
Ni  0.579  0.081  0.760